Here is SmTm2Hg after structural relaxation from the Alexandria database. Energies are from PBE.

Cell lengths 3.5866, 3.5866, 31.4952 Å; angles 90.00, 90.00, 120.00 degrees
Space group R-3m (No. 166, hexagonal axes)
Inequivalent atoms, fractional coordinates:
1 Sm 0.0000 0.0000 0.0000 (multiplicity 3)
2 Tm 0.0000 0.0000 0.2418 (multiplicity 6)
3 Hg 0.0000 0.0000 0.5000 (multiplicity 3)

- Distance to the lowest polymorph of the same formula: 6.3 kJ per mole of atoms

Here is Sm2Tm3Hg2 after structural relaxation from the Alexandria database. Energies are from PBE.

Cell lengths 5.3662, 5.3662, 23.7649 Å; angles 90.00, 90.00, 120.00 degrees
Space group R-3m (No. 166, hexagonal axes)
Inequivalent atoms, fractional coordinates:
1 Sm 0.0000 0.0000 0.0759 (multiplicity 6)
2 Tm 0.0000 0.0000 0.3429 (multiplicity 6)
3 Tm 0.0000 0.0000 0.5000 (multiplicity 3)
4 Hg 0.0000 0.0000 0.2146 (multiplicity 6)

Here is SmTm2Hg after structural relaxation from the Alexandria database. Energies are from PBE.

Cell lengths 4.810, 4.810, 4.766 Å; angles 90.00, 90.00, 90.00 degrees
Space group P4/mmm (No. 123)
Inequivalent atoms, fractional coordinates:
1 Sm 0.000 0.000 0.000 (multiplicity 1)
2 Tm 0.000 0.500 0.500 (multiplicity 2)
3 Hg 0.500 0.500 0.000 (multiplicity 1)

- Distance to the lowest polymorph of the same formula: 8.0 kJ per mole of atoms

Here is SmTm2Hg8 after structural relaxation from the Alexandria database. Energies are from PBE.

Cell lengths 16.000, 4.905, 7.227 Å; angles 90.00, 108.04, 90.00 degrees
Space group C2/m (No. 12)
Inequivalent atoms, fractional coordinates:
1 Sm 0.000 0.000 0.000 (multiplicity 2)
2 Tm 0.218 0.500 0.656 (multiplicity 4)
3 Hg 0.035 0.500 0.730 (multiplicity 4)
4 Hg 0.099 0.000 0.464 (multiplicity 4)
5 Hg 0.148 0.500 0.196 (multiplicity 4)
6 Hg 0.178 0.000 0.907 (multiplicity 4)

Here is SmTm2Hg after structural relaxation from the Alexandria database. Energies are from PBE.

Cell lengths 3.6185, 3.6185, 31.3001 Å; angles 90.00, 90.00, 120.00 degrees
Space group R3m (No. 160, hexagonal axes)
Inequivalent atoms, fractional coordinates:
1 Sm 0.0000 0.0000 0.0000 (multiplicity 3)
2 Tm 0.0000 0.0000 0.5746 (multiplicity 3)
3 Tm 0.0000 0.0000 0.7585 (multiplicity 3)
4 Hg 0.0000 0.0000 0.1663 (multiplicity 3)

- Distance to the lowest polymorph of the same formula: 8.0 kJ per mole of atoms

Here is SmTm3Hg6 after structural relaxation from the Alexandria database. Energies are from PBE.

Cell lengths 9.103, 5.152, 11.101 Å; angles 90.00, 107.04, 90.00 degrees
Space group P2_1/m (No. 11)
Inequivalent atoms, fractional coordinates:
1 Sm 0.065 0.250 0.386 (multiplicity 2)
2 Tm 0.232 0.250 0.004 (multiplicity 2)
3 Tm 0.353 0.750 0.805 (multiplicity 2)
4 Tm 0.484 0.250 0.611 (multiplicity 2)
5 Hg 0.064 0.750 0.908 (multiplicity 2)
6 Hg 0.141 0.750 0.207 (multiplicity 2)
7 Hg 0.173 0.250 0.692 (multiplicity 2)
8 Hg 0.254 0.750 0.520 (multiplicity 2)
9 Hg 0.359 0.250 0.293 (multiplicity 2)
10 Hg 0.463 0.750 0.094 (multiplicity 2)

Here is Sm2TmHg4 after structural relaxation from the Alexandria database. Energies are from PBE.

Cell lengths 5.579, 5.579, 15.489 Å; angles 90.00, 90.00, 90.00 degrees
Space group I4/mmm (No. 139)
Inequivalent atoms, fractional coordinates:
1 Sm 0.000 0.000 0.106 (multiplicity 4)
2 Tm 0.000 0.000 0.500 (multiplicity 2)
3 Hg 0.000 0.000 0.307 (multiplicity 4)
4 Hg 0.000 0.500 0.000 (multiplicity 4)

- Distance to the lowest polymorph of the same formula: 30.9 kJ per mole of atoms

Here is Sm5Tm4Hg after structural relaxation from the Alexandria database. Energies are from PBE.

Cell lengths 3.595, 3.595, 24.011 Å; angles 90.00, 90.00, 90.00 degrees
Space group P4/mmm (No. 123)
Inequivalent atoms, fractional coordinates:
1 Sm 0.000 0.000 0.000 (multiplicity 1)
2 Sm 0.000 0.000 0.206 (multiplicity 2)
3 Sm 0.000 0.000 0.413 (multiplicity 2)
4 Tm 0.500 0.500 0.103 (multiplicity 2)
5 Tm 0.500 0.500 0.309 (multiplicity 2)
6 Hg 0.500 0.500 0.500 (multiplicity 1)

The records above yield density of states at the Fermi level values of 9.69 26.71 5.24 10.27 14.59 12.70 13.23 14.31 states/eV/cell, respectively.
The records above yield formation energy from the elements values of -0.170 -0.228 -0.152 -0.303 -0.153 -0.419 -0.026 -0.069 eV per atom, respectively.